--- i ---
VASP calculation (PBE) on a geometry-optimized LiNpTe3 structure.

abc: 9.058 9.058 4.209
angles: 90.00 90.00 59.19
Fractional positions:
Li (0.250, 0.250, 0.001)
Li (0.750, 0.750, 0.999)
Np (0.249, 0.751, 0.500)
Np (0.750, 0.250, 0.000)
Te (0.043, 0.199, 0.501)
Te (0.112, 0.613, 0.999)
Te (0.387, 0.888, 0.001)
Te (0.456, 0.302, 0.501)
Te (0.698, 0.544, 0.499)
Te (0.801, 0.957, 0.499)

V ... 29.66 Å³ per atom

--- ii ---
VASP calculation (PBE) on a geometry-optimized LiNpTe3 structure.

abc: 14.231 6.260 6.258
angles: 90.00 90.00 90.00
Fractional positions:
Li (0.001, 0.250, 0.000)
Li (0.001, 0.250, 0.500)
Li (0.999, 0.750, 0.000)
Li (0.999, 0.750, 0.500)
Np (0.329, 0.000, 0.250)
Np (0.329, 0.500, 0.750)
Np (0.671, 0.000, 0.750)
Np (0.671, 0.500, 0.250)
Te (0.116, 0.501, 0.750)
Te (0.116, 0.999, 0.250)
Te (0.282, 0.000, 0.750)
Te (0.282, 0.500, 0.250)
Te (0.500, 0.250, 0.000)
Te (0.500, 0.250, 0.500)
Te (0.500, 0.750, 0.000)
Te (0.500, 0.750, 0.500)
Te (0.718, 0.000, 0.250)
Te (0.718, 0.500, 0.750)
Te (0.884, 0.001, 0.750)
Te (0.884, 0.499, 0.250)

V ... 27.88 Å³ per atom

Which structure is the most stable? The one labeled ii.

--- i ---
VASP calculation (PBE) on a geometry-optimized LiO structure.

abc: 9.681 3.300 3.821
angles: 90.00 90.00 90.00
Fractional positions:
Li (0.000, 0.240, 0.000)
Li (0.216, 0.748, 0.539)
Li (0.284, 0.252, 0.039)
Li (0.500, 0.760, 0.500)
Li (0.716, 0.252, 0.039)
Li (0.784, 0.748, 0.539)
O (0.000, 0.741, 0.241)
O (0.165, 0.752, 0.040)
O (0.335, 0.248, 0.540)
O (0.500, 0.259, 0.741)
O (0.665, 0.248, 0.540)
O (0.835, 0.752, 0.040)

V ... 10.17 Å³ per atom

--- ii ---
VASP calculation (PBE) on a geometry-optimized LiO structure.

abc: 3.151 3.151 11.983
angles: 90.00 90.00 120.00
Fractional positions:
Li (0.000, 0.000, 0.000)
Li (0.000, 0.000, 0.182)
Li (0.333, 0.667, 0.667)
Li (0.333, 0.667, 0.849)
Li (0.667, 0.333, 0.333)
Li (0.667, 0.333, 0.516)
O (0.000, 0.000, 0.446)
O (0.000, 0.000, 0.576)
O (0.333, 0.667, 0.113)
O (0.333, 0.667, 0.243)
O (0.667, 0.333, 0.779)
O (0.667, 0.333, 0.909)

V ... 8.59 Å³ per atom

--- iii ---
VASP calculation (PBE) on a geometry-optimized LiO structure.

abc: 3.332 3.332 7.910
angles: 90.00 90.00 120.00
Fractional positions:
Li (0.333, 0.667, 0.103)
Li (0.333, 0.667, 0.397)
Li (0.667, 0.333, 0.603)
Li (0.667, 0.333, 0.897)
O (0.333, 0.667, 0.654)
O (0.333, 0.667, 0.846)
O (0.667, 0.333, 0.154)
O (0.667, 0.333, 0.346)

V ... 9.51 Å³ per atom

Which structure is the most stable? The one labeled ii.

--- i ---
VASP calculation (PBE) on a geometry-optimized LiO structure.

abc: 4.484 4.484 4.484
angles: 90.00 90.00 90.00
Fractional positions:
Li (0.000, 0.000, 0.000)
Li (0.000, 0.500, 0.500)
Li (0.500, 0.000, 0.500)
Li (0.500, 0.500, 0.000)
O (0.250, 0.250, 0.750)
O (0.250, 0.750, 0.250)
O (0.750, 0.250, 0.250)
O (0.750, 0.750, 0.750)

V ... 11.27 Å³ per atom

--- ii ---
VASP calculation (PBE) on a geometry-optimized LiO structure.

abc: 6.840 6.840 3.967
angles: 90.00 90.00 90.00
Fractional positions:
Li (0.147, 0.353, 0.000)
Li (0.147, 0.647, 0.500)
Li (0.353, 0.147, 0.500)
Li (0.353, 0.853, 0.000)
Li (0.647, 0.147, 0.000)
Li (0.647, 0.853, 0.500)
Li (0.853, 0.353, 0.500)
Li (0.853, 0.647, 0.000)
O (0.149, 0.351, 0.500)
O (0.149, 0.649, 0.000)
O (0.351, 0.149, 0.000)
O (0.351, 0.851, 0.500)
O (0.649, 0.149, 0.500)
O (0.649, 0.851, 0.000)
O (0.851, 0.351, 0.000)
O (0.851, 0.649, 0.500)

V ... 11.60 Å³ per atom

--- iii ---
VASP calculation (PBE) on a geometry-optimized LiO structure.

abc: 5.475 5.475 5.475
angles: 90.00 90.00 90.00
Fractional positions:
Li (0.000, 0.250, 0.500)
Li (0.000, 0.750, 0.500)
Li (0.250, 0.500, 0.000)
Li (0.500, 0.000, 0.250)
Li (0.500, 0.000, 0.750)
Li (0.750, 0.500, 0.000)
O (0.000, 0.500, 0.250)
O (0.000, 0.500, 0.750)
O (0.250, 0.000, 0.500)
O (0.500, 0.250, 0.000)
O (0.500, 0.750, 0.000)
O (0.750, 0.000, 0.500)

V ... 13.67 Å³ per atom

Which structure is the most stable? The one labeled ii.

--- i ---
VASP calculation (PBE) on a geometry-optimized LiO8 structure.

abc: 5.835 5.835 5.835
angles: 100.51 100.51 129.43
Fractional positions:
Li (0.000, 0.000, 0.000)
O (0.000, 0.417, 0.417)
O (0.000, 0.583, 0.583)
O (0.393, 0.393, 0.787)
O (0.393, 0.607, 0.000)
O (0.417, 0.000, 0.417)
O (0.583, 0.000, 0.583)
O (0.607, 0.393, 0.000)
O (0.607, 0.607, 0.213)

V ... 15.42 Å³ per atom

--- ii ---
VASP calculation (PBE) on a geometry-optimized LiO8 structure.

abc: 5.074 5.074 4.325
angles: 108.03 108.03 72.08
Fractional positions:
Li (0.000, 0.000, 0.000)
O (0.205, 0.733, 0.343)
O (0.267, 0.795, 0.657)
O (0.275, 0.275, 0.341)
O (0.337, 0.337, 0.652)
O (0.663, 0.663, 0.348)
O (0.725, 0.725, 0.659)
O (0.733, 0.205, 0.343)
O (0.795, 0.267, 0.657)

V ... 10.88 Å³ per atom

--- iii ---
VASP calculation (PBE) on a geometry-optimized LiO8 structure.

abc: 5.037 5.155 5.163
angles: 118.40 108.52 100.09
Fractional positions:
Li (0.000, 0.000, 0.000)
O (0.069, 0.446, 0.436)
O (0.075, 0.020, 0.442)
O (0.413, 0.900, 0.082)
O (0.418, 0.329, 0.092)
O (0.529, 0.836, 0.889)
O (0.537, 0.258, 0.903)
O (0.933, 0.497, 0.610)
O (0.934, 0.084, 0.610)

V ... 11.43 Å³ per atom

--- iv ---
VASP calculation (PBE) on a geometry-optimized LiO8 structure.

abc: 5.663 5.663 4.658
angles: 112.72 112.72 70.92
Fractional positions:
Li (0.000, 0.000, 0.000)
O (0.138, 0.605, 0.837)
O (0.176, 0.176, 0.826)
O (0.207, 0.675, 0.149)
O (0.247, 0.247, 0.135)
O (0.538, 0.538, 0.857)
O (0.605, 0.138, 0.837)
O (0.605, 0.605, 0.157)
O (0.675, 0.207, 0.149)

V ... 13.81 Å³ per atom

Which structure is the most stable? The one labeled iii.

--- i ---
VASP calculation (PBE) on a geometry-optimized Li3OsO structure.

abc: 3.916 3.916 3.916
angles: 90.00 90.00 90.00
Fractional positions:
Li (0.000, 0.000, 0.500)
Li (0.000, 0.500, 0.000)
Li (0.500, 0.000, 0.000)
Os (0.500, 0.500, 0.500)
O (0.000, 0.000, 0.000)

V ... 12.01 Å³ per atom

--- ii ---
VASP calculation (PBE) on a geometry-optimized Li3OsO structure.

abc: 4.851 4.851 4.851
angles: 90.00 90.00 90.00
Fractional positions:
Li (0.000, 0.000, 0.500)
Li (0.000, 0.500, 0.000)
Li (0.500, 0.000, 0.000)
Os (0.000, 0.000, 0.000)
O (0.500, 0.500, 0.500)

V ... 22.83 Å³ per atom

Which structure is the most stable? The one labeled i.

--- i ---
VASP calculation (PBE) on a geometry-optimized LiOs3O structure.

abc: 4.122 4.122 4.122
angles: 90.00 90.00 90.00
Fractional positions:
Li (0.000, 0.000, 0.000)
Os (0.000, 0.000, 0.500)
Os (0.000, 0.500, 0.000)
Os (0.500, 0.000, 0.000)
O (0.500, 0.500, 0.500)

V ... 14.01 Å³ per atom

--- ii ---
VASP calculation (PBE) on a geometry-optimized LiOs3O structure.

abc: 4.059 4.059 4.059
angles: 90.00 90.00 90.00
Fractional positions:
Li (0.000, 0.000, 0.000)
Os (0.000, 0.500, 0.500)
Os (0.500, 0.000, 0.500)
Os (0.500, 0.500, 0.000)
O (0.500, 0.500, 0.500)

V ... 13.37 Å³ per atom

Which structure is the most stable? The one labeled ii.

--- i ---
VASP calculation (PBE) on a geometry-optimized Li2OsO5 structure.

abc: 5.518 5.518 10.146
angles: 90.00 90.00 139.96
Fractional positions:
Li (0.128, 0.872, 0.558)
Li (0.128, 0.872, 0.942)
Li (0.872, 0.128, 0.058)
Li (0.872, 0.128, 0.442)
Os (0.179, 0.821, 0.250)
Os (0.821, 0.179, 0.750)
O (0.051, 0.949, 0.126)
O (0.051, 0.949, 0.374)
O (0.300, 0.700, 0.115)
O (0.300, 0.700, 0.385)
O (0.312, 0.688, 0.750)
O (0.688, 0.312, 0.250)
O (0.700, 0.300, 0.615)
O (0.700, 0.300, 0.885)
O (0.949, 0.051, 0.626)
O (0.949, 0.051, 0.874)

V ... 12.42 Å³ per atom

--- ii ---
VASP calculation (PBE) on a geometry-optimized Li2OsO5 structure.

abc: 5.738 5.738 8.429
angles: 112.48 112.48 54.90
Fractional positions:
Li (0.077, 0.923, 0.500)
Li (0.508, 0.816, 0.889)
Li (0.816, 0.508, 0.389)
Li (0.923, 0.077, 0.000)
Os (0.302, 0.449, 0.181)
Os (0.449, 0.302, 0.681)
O (0.006, 0.583, 0.280)
O (0.115, 0.288, 0.574)
O (0.141, 0.634, 0.011)
O (0.237, 0.690, 0.681)
O (0.288, 0.115, 0.074)
O (0.402, 0.691, 0.374)
O (0.583, 0.006, 0.780)
O (0.634, 0.141, 0.511)
O (0.690, 0.237, 0.181)
O (0.691, 0.402, 0.874)

V ... 12.81 Å³ per atom

Which structure is the most stable? The one labeled ii.

--- i ---
VASP calculation (PBE) on a geometry-optimized LiPOsO2 structure.

abc: 3.541 3.541 4.302
angles: 90.00 90.00 90.00
Fractional positions:
Li (0.000, 0.000, 0.000)
P (0.000, 0.000, 0.500)
Os (0.500, 0.500, 0.500)
O (0.000, 0.500, 0.000)
O (0.500, 0.000, 0.000)

V ... 10.79 Å³ per atom

--- ii ---
VASP calculation (PBE) on a geometry-optimized LiPOsO2 structure.

abc: 3.765 3.765 5.103
angles: 90.00 90.00 90.00
Fractional positions:
Li (0.000, 0.000, 0.000)
P (0.500, 0.500, 0.000)
Os (0.500, 0.500, 0.500)
O (0.000, 0.500, 0.500)
O (0.500, 0.000, 0.500)

V ... 14.47 Å³ per atom

Which structure is the most stable? The one labeled ii.

--- i ---
VASP calculation (PBE) on a geometry-optimized LiP2OsO structure.

abc: 4.799 4.799 3.699
angles: 90.00 90.00 90.00
Fractional positions:
Li (0.000, 0.000, 0.000)
P (0.000, 0.500, 0.500)
P (0.500, 0.000, 0.500)
Os (0.500, 0.500, 0.500)
O (0.500, 0.500, 0.000)

V ... 17.03 Å³ per atom

--- ii ---
VASP calculation (PBE) on a geometry-optimized LiP2OsO structure.

abc: 4.511 4.511 3.077
angles: 90.00 90.00 90.00
Fractional positions:
Li (0.000, 0.000, 0.000)
P (0.000, 0.500, 0.000)
P (0.500, 0.000, 0.000)
Os (0.500, 0.500, 0.500)
O (0.000, 0.000, 0.500)

V ... 12.52 Å³ per atom

Which structure is the most stable? The one labeled i.